1.
# PAuS2N | Alexandria | PBE | optimized geometry
data_PAuS2N
_chemical_formula_sum 'P1 Au1 S2 N1'
_cell_length_a 5.0155
_cell_length_b 5.0155
_cell_length_c 4.7264
_cell_angle_alpha 90.00
_cell_angle_beta 90.00
_cell_angle_gamma 90.00
_space_group_name_H-M_alt 'P 1'
_space_group_IT_number 1
loop_
_space_group_symop_operation_xyz
'x,y,z'
loop_
_atom_site_label
_atom_site_type_symbol
_atom_site_fract_x
_atom_site_fract_y
_atom_site_fract_z
P1 P 0.0000 0.0000 0.0000
Au1 Au 0.0000 0.0000 0.5000
S1 S 0.0000 0.5000 0.5000
S2 S 0.5000 0.0000 0.5000
N1 N 0.5000 0.5000 0.0000
# Density of states at the Fermi level = 4.10 states/eV/f.u.
# Space-group type = P4/mmm
# Offset from the most stable computed form = 30.27 kcal/mol of atoms
# Formation energy (no corrections) = 9.95 eV/f.u.


2.
# Nd2Ti2InRh5 | Alexandria | PBE | optimized geometry
data_Nd2Ti2InRh5
_chemical_formula_sum 'Nd4 Ti4 In2 Rh10'
_cell_length_a 10.1377
_cell_length_b 10.1377
_cell_length_c 3.6723
_cell_angle_alpha 90.00
_cell_angle_beta 90.00
_cell_angle_gamma 90.00
_space_group_name_H-M_alt 'P 1'
_space_group_IT_number 1
loop_
_space_group_symop_operation_xyz
'x,y,z'
loop_
_atom_site_label
_atom_site_type_symbol
_atom_site_fract_x
_atom_site_fract_y
_atom_site_fract_z
Nd1 Nd 0.1837 0.3163 0.0000
Nd2 Nd 0.3163 0.8163 0.0000
Nd3 Nd 0.6837 0.1837 0.0000
Nd4 Nd 0.8163 0.6837 0.0000
Ti1 Ti 0.1158 0.6158 0.0000
Ti2 Ti 0.3842 0.1158 0.0000
Ti3 Ti 0.6158 0.8842 0.0000
Ti4 Ti 0.8842 0.3842 0.0000
In1 In 0.0000 0.0000 0.0000
In2 In 0.5000 0.5000 0.0000
Rh1 Rh 0.0000 0.5000 0.5000
Rh2 Rh 0.0617 0.7856 0.5000
Rh3 Rh 0.2144 0.0617 0.5000
Rh4 Rh 0.2856 0.5617 0.5000
Rh5 Rh 0.4383 0.2856 0.5000
Rh6 Rh 0.5000 0.0000 0.5000
Rh7 Rh 0.5617 0.7144 0.5000
Rh8 Rh 0.7144 0.4383 0.5000
Rh9 Rh 0.7856 0.9383 0.5000
Rh10 Rh 0.9383 0.2144 0.5000
# Density of states at the Fermi level = 4.57 states/eV/f.u.
# Space-group type = P4/mbm
# Energy of formation = -5.41 eV/f.u.


3.
# KSbIr2 | Alexandria | PBE | optimized geometry
data_KSbIr2
_chemical_formula_sum 'K1 Sb1 Ir2'
_cell_length_a 2.9820
_cell_length_b 2.9820
_cell_length_c 10.1108
_cell_angle_alpha 90.00
_cell_angle_beta 90.00
_cell_angle_gamma 117.71
_space_group_name_H-M_alt 'P 1'
_space_group_IT_number 1
loop_
_space_group_symop_operation_xyz
'x,y,z'
loop_
_atom_site_label
_atom_site_type_symbol
_atom_site_fract_x
_atom_site_fract_y
_atom_site_fract_z
K1 K 0.0000 0.0000 0.0000
Sb1 Sb 0.0000 0.0000 0.5000
Ir1 Ir 0.5000 0.5000 0.2767
Ir2 Ir 0.5000 0.5000 0.7233
# Density of states at the Fermi level = 3.10 states/eV/f.u.
# Space-group type = Cmmm
# Formation energy (no corrections) = 2.97 eV/f.u.


4.
# SrWSe4 | Alexandria | PBE | optimized geometry
data_SrWSe4
_chemical_formula_sum 'Sr1 W1 Se4'
_cell_length_a 5.8875
_cell_length_b 5.8875
_cell_length_c 5.8875
_cell_angle_alpha 60.00
_cell_angle_beta 60.00
_cell_angle_gamma 60.00
_space_group_name_H-M_alt 'P 1'
_space_group_IT_number 1
loop_
_space_group_symop_operation_xyz
'x,y,z'
loop_
_atom_site_label
_atom_site_type_symbol
_atom_site_fract_x
_atom_site_fract_y
_atom_site_fract_z
Sr1 Sr 0.0000 0.0000 0.0000
W1 W 0.7500 0.7500 0.7500
Se1 Se 0.3766 0.3766 0.3766
Se2 Se 0.3766 0.3766 0.8701
Se3 Se 0.3766 0.8701 0.3766
Se4 Se 0.8701 0.3766 0.3766
# Density of states at the Fermi level = 4.40 states/eV/f.u.
# Space-group type = F-43m
# Formation energy (no corrections) = 4.11 eV/f.u.


5.
# Nd12Tl3Ga | Alexandria | PBE | optimized geometry
data_Nd12Tl3Ga
_chemical_formula_sum 'Nd12 Tl3 Ga1'
_cell_length_a 4.9612
_cell_length_b 4.9612
_cell_length_c 19.8684
_cell_angle_alpha 90.00
_cell_angle_beta 90.00
_cell_angle_gamma 90.00
_space_group_name_H-M_alt 'P 1'
_space_group_IT_number 1
loop_
_space_group_symop_operation_xyz
'x,y,z'
loop_
_atom_site_label
_atom_site_type_symbol
_atom_site_fract_x
_atom_site_fract_y
_atom_site_fract_z
Nd1 Nd 0.0000 0.0000 0.0000
Nd2 Nd 0.0000 0.0000 0.2459
Nd3 Nd 0.0000 0.0000 0.5000
Nd4 Nd 0.0000 0.0000 0.7541
Nd5 Nd 0.0000 0.5000 0.1190
Nd6 Nd 0.0000 0.5000 0.3733
Nd7 Nd 0.0000 0.5000 0.6267
Nd8 Nd 0.0000 0.5000 0.8810
Nd9 Nd 0.5000 0.0000 0.1190
Nd10 Nd 0.5000 0.0000 0.3733
Nd11 Nd 0.5000 0.0000 0.6267
Nd12 Nd 0.5000 0.0000 0.8810
Tl1 Tl 0.5000 0.5000 0.2472
Tl2 Tl 0.5000 0.5000 0.5000
Tl3 Tl 0.5000 0.5000 0.7528
Ga1 Ga 0.5000 0.5000 0.0000
# Density of states at the Fermi level = 24.77 states/eV/f.u.
# Space-group type = P4/mmm
# Energy of formation = -3.42 eV/f.u.


6.
# Mg4CuNi | Alexandria | PBE | optimized geometry
data_Mg4CuNi
_chemical_formula_sum 'Mg4 Cu1 Ni1'
_cell_length_a 5.4236
_cell_length_b 5.4236
_cell_length_c 5.4236
_cell_angle_alpha 60.00
_cell_angle_beta 60.00
_cell_angle_gamma 60.00
_space_group_name_H-M_alt 'P 1'
_space_group_IT_number 1
loop_
_space_group_symop_operation_xyz
'x,y,z'
loop_
_atom_site_label
_atom_site_type_symbol
_atom_site_fract_x
_atom_site_fract_y
_atom_site_fract_z
Mg1 Mg 0.1248 0.1248 0.1248
Mg2 Mg 0.1248 0.1248 0.6256
Mg3 Mg 0.1248 0.6256 0.1248
Mg4 Mg 0.6256 0.1248 0.1248
Cu1 Cu 0.5000 0.5000 0.5000
Ni1 Ni 0.7500 0.7500 0.7500
# Density of states at the Fermi level = 2.34 states/eV/f.u.
# Space-group type = F-43m
# Offset from the most stable computed form = 13.28 kcal/mol of atoms
# Energy of formation = 2.56 eV/f.u.